(1)
# DyBr2

A relaxed DyBr2 crystal (PBE, Alexandria).

E_tot: -4.293 eV/atom
D(E_F): 0.64 states/eV per cell
raw formation energy: -1643 meV per atom
space group: C222_1 (20)

Lattice parameters (Å, degrees): 3.8576 3.8576 31.3450 90.00 90.00 120.00
Atoms (fractional coordinates):
Dy (0.2416, 0.2433, 0.1235)
Dy (0.2433, 0.2416, 0.8765)
Dy (0.7567, 0.7584, 0.3765)
Dy (0.7584, 0.7567, 0.6235)
Br (0.0900, 0.4250, 0.3170)
Br (0.0899, 0.4251, 0.4360)
Br (0.4251, 0.0899, 0.5640)
Br (0.4250, 0.0900, 0.6830)
Br (0.5749, 0.9101, 0.0640)
Br (0.5750, 0.9100, 0.1830)
Br (0.9100, 0.5750, 0.8170)
Br (0.9101, 0.5749, 0.9360)



(2)
# Ca3MgP

A relaxed Ca3MgP crystal (PBE, Alexandria).

E_form: -0.45 eV per atom
E_tot: -3.050 eV/atom
D(E_F): 10.30 states/eV per cell
space group: C2/m (12)

Lattice parameters (Å, degrees): 11.2842 11.2842 6.7819 99.86 99.86 20.75
Atoms (fractional coordinates):
Ca (0.0590, 0.0590, 0.2902)
Ca (0.2013, 0.2013, 0.6065)
Ca (0.4075, 0.4075, 0.1478)
Ca (0.5925, 0.5925, 0.8522)
Ca (0.7988, 0.7988, 0.3935)
Ca (0.9410, 0.9410, 0.7098)
Mg (0.2015, 0.2015, 0.0924)
Mg (0.7985, 0.7985, 0.9076)
P (0.3421, 0.3421, 0.6894)
P (0.6579, 0.6579, 0.3106)



(3)
# Ti2TlPd

A relaxed Ti2TlPd crystal (PBE, Alexandria).

E_form: 0.27 eV per atom
E_tot: -5.571 eV/atom
D(E_F): 10.48 states/eV per cell
space group: I-42d (122)

Lattice parameters (Å, degrees): 10.3759 10.3759 10.3759 158.17 158.17 31.06
Atoms (fractional coordinates):
Ti (0.1225, 0.6250, 0.9975)
Ti (0.3750, 0.3725, 0.4975)
Ti (0.6275, 0.1250, 0.0025)
Ti (0.8750, 0.8775, 0.5025)
Tl (0.0000, 0.0000, 0.0000)
Tl (0.7500, 0.2500, 0.5000)
Pd (0.2500, 0.7500, 0.5000)
Pd (0.5000, 0.5000, 0.0000)



(4)
# Tc4IrOs

A relaxed Tc4IrOs crystal (PBE, Alexandria).

E_form: 0.07 eV per atom
E_tot: -10.193 eV/atom
D(E_F): 9.04 states/eV per cell
space group: C2/c (15)

Lattice parameters (Å, degrees): 6.9574 6.9574 4.3326 108.14 108.14 65.42
Atoms (fractional coordinates):
Tc (0.1255, 0.6294, 0.6258)
Tc (0.1667, 0.3335, 0.9998)
Tc (0.3335, 0.1667, 0.4998)
Tc (0.3706, 0.8745, 0.8742)
Tc (0.6294, 0.1255, 0.1258)
Tc (0.6665, 0.8333, 0.5002)
Tc (0.8333, 0.6665, 0.0002)
Tc (0.8745, 0.3706, 0.3742)
Ir (0.4141, 0.5859, 0.2500)
Ir (0.5859, 0.4141, 0.7500)
Os (0.0812, 0.9188, 0.2500)
Os (0.9188, 0.0812, 0.7500)



(5)
# Mg3TeP

A relaxed Mg3TeP crystal (PBE, Alexandria).

E_tot: -3.051 eV/atom
D(E_F): 3.05 states/eV per cell
raw formation energy: -384 meV per atom
space group: Pm-3m (221)

Lattice parameters (Å, degrees): 4.9705 4.9705 4.9705 90.00 90.00 90.00
Atoms (fractional coordinates):
Mg (0.0000, 0.0000, 0.5000)
Mg (0.0000, 0.5000, 0.0000)
Mg (0.5000, 0.0000, 0.0000)
Te (0.5000, 0.5000, 0.5000)
P (0.0000, 0.0000, 0.0000)



(6)
# MgReS2I

A relaxed MgReS2I crystal (PBE, Alexandria).

E_tot: -4.877 eV/atom
D(E_F): 3.18 states/eV per cell
raw formation energy: -108 meV per atom
space group: P4/mmm (123)

Lattice parameters (Å, degrees): 4.4770 4.4770 6.0572 90.00 90.00 90.00
Atoms (fractional coordinates):
Mg (0.0000, 0.0000, 0.0000)
Re (0.0000, 0.0000, 0.5000)
S (0.0000, 0.5000, 0.5000)
S (0.5000, 0.0000, 0.5000)
I (0.5000, 0.5000, 0.0000)



(7)
# MgMnBr

A relaxed MgMnBr crystal (PBE, Alexandria).

E_tot: -4.125 eV/atom
D(E_F): 0.72 states/eV per cell
raw formation energy: 21 meV per atom
space group: I4mm (107)

Lattice parameters (Å, degrees): 6.3394 6.3394 6.3394 149.33 149.33 43.93
Atoms (fractional coordinates):
Mg (0.0000, 0.0000, 0.0000)
Mn (0.3622, 0.3622, 0.0000)
Br (0.7266, 0.7266, 0.0000)



(8)
# Mn4Fe2Os3

A relaxed Mn4Fe2Os3 crystal (PBE, Alexandria).

E_form: 0.13 eV per atom
E_tot: -9.570 eV/atom
D(E_F): 10.00 states/eV per cell
space group: C2/m (12)

Lattice parameters (Å, degrees): 4.8339 4.8339 6.4123 101.59 101.59 50.79
Atoms (fractional coordinates):
Mn (0.1132, 0.1132, 0.1585)
Mn (0.3248, 0.3248, 0.5017)
Mn (0.6752, 0.6752, 0.4983)
Mn (0.8868, 0.8868, 0.8415)
Fe (0.2281, 0.2281, 0.8332)
Fe (0.7719, 0.7719, 0.1668)
Os (0.0000, 0.0000, 0.5000)
Os (0.4458, 0.4458, 0.1772)
Os (0.5542, 0.5542, 0.8228)



(9)
# Sm5Ni2Hg2

A relaxed Sm5Ni2Hg2 crystal (PBE, Alexandria).

E_form: -0.34 eV per atom
E_tot: -4.314 eV/atom
D(E_F): 16.70 states/eV per cell
space group: Cmce (64)

Lattice parameters (Å, degrees): 8.5933 8.5933 8.4822 90.00 90.00 48.59
Atoms (fractional coordinates):
Sm (0.0000, 0.0000, 0.0000)
Sm (0.0349, 0.7220, 0.6802)
Sm (0.2220, 0.5349, 0.1802)
Sm (0.2780, 0.9651, 0.6802)
Sm (0.4651, 0.7780, 0.1802)
Sm (0.5000, 0.5000, 0.5000)
Sm (0.5349, 0.2220, 0.8198)
Sm (0.7220, 0.0349, 0.3198)
Sm (0.7780, 0.4651, 0.8198)
Sm (0.9651, 0.2780, 0.3198)
Ni (0.1229, 0.8771, 0.3920)
Ni (0.3771, 0.6229, 0.8920)
Ni (0.6229, 0.3771, 0.1080)
Ni (0.8771, 0.1229, 0.6080)
Hg (0.2119, 0.2119, 0.0000)
Hg (0.2881, 0.2881, 0.5000)
Hg (0.7119, 0.7119, 0.5000)
Hg (0.7881, 0.7881, 0.0000)



(10)
# InCoP2Cl

A relaxed InCoP2Cl crystal (PBE, Alexandria).

E_tot: -4.318 eV/atom
D(E_F): 3.92 states/eV per cell
raw formation energy: 184 meV per atom
space group: P4/mmm (123)

Lattice parameters (Å, degrees): 4.2802 4.2802 5.2876 90.00 90.00 90.00
Atoms (fractional coordinates):
In (0.0000, 0.0000, 0.0000)
Co (0.5000, 0.5000, 0.5000)
P (0.0000, 0.5000, 0.5000)
P (0.5000, 0.0000, 0.5000)
Cl (0.5000, 0.5000, 0.0000)



(11)
# Pr6Ni2IrI3

A relaxed Pr6Ni2IrI3 crystal (PBE, Alexandria).

E_tot: -5.244 eV/atom
D(E_F): 7.98 states/eV per cell
raw formation energy: -765 meV per atom
space group: C2/m (12)

Lattice parameters (Å, degrees): 7.2629 7.2629 8.5188 98.17 98.17 120.02
Atoms (fractional coordinates):
Pr (0.1038, 0.4385, 0.8158)
Pr (0.2268, 0.2268, 0.1842)
Pr (0.4385, 0.1038, 0.8158)
Pr (0.5615, 0.8962, 0.1842)
Pr (0.7732, 0.7732, 0.8158)
Pr (0.8962, 0.5615, 0.1842)
Ni (0.1666, 0.8334, 0.0000)
Ni (0.8334, 0.1666, 0.0000)
Ir (0.5000, 0.5000, 0.0000)
I (0.0000, 0.0000, 0.5000)
I (0.3333, 0.6667, 0.5000)
I (0.6667, 0.3333, 0.5000)



(12)
# DyScMnRu

A relaxed DyScMnRu crystal (PBE, Alexandria).

E_form: -0.13 eV per atom
E_tot: -7.479 eV/atom
D(E_F): 4.09 states/eV per cell
space group: F-43m (216)

Lattice parameters (Å, degrees): 4.7543 4.7543 4.7543 60.00 60.00 60.00
Atoms (fractional coordinates):
Dy (0.0000, 0.0000, 0.0000)
Sc (0.5000, 0.5000, 0.5000)
Mn (0.2500, 0.2500, 0.2500)
Ru (0.7500, 0.7500, 0.7500)